# Ac6Cd3In | the Alexandria database | PBE | relaxed
data_Ac6Cd3In
_symmetry_space_group_name_H-M 'P 1 21/m 1'
_symmetry_Int_Tables_number 11
_cell_length_a 10.289
_cell_length_b 5.753
_cell_length_c 12.738
_cell_angle_alpha 90.00
_cell_angle_beta 106.63
_cell_angle_gamma 90.00
loop_
_symmetry_equiv_pos_as_xyz
'x,y,z'
'-x,-y,-z'
'-x,y+1/2,-z'
'x,-y+1/2,z'
loop_
_atom_site_label
_atom_site_type_symbol
_atom_site_fract_x
_atom_site_fract_y
_atom_site_fract_z
_atom_site_occupancy
Ac1 Ac 0.028 0.250 0.406 1
Ac2 Ac 0.149 0.750 0.180 1
Ac3 Ac 0.243 0.250 0.997 1
Ac4 Ac 0.343 0.750 0.821 1
Ac5 Ac 0.376 0.250 0.340 1
Ac6 Ac 0.391 0.250 0.621 1
Cd1 Cd 0.034 0.750 0.883 1
Cd2 Cd 0.119 0.250 0.716 1
Cd3 Cd 0.274 0.750 0.471 1
In1 In 0.449 0.750 0.107 1
# Calculated formation energy in eV/atom: -0.218


# Li2BiSb | the Alexandria database | PBE | relaxed
data_Li2BiSb
_symmetry_space_group_name_H-M 'F m -3 m'
_symmetry_Int_Tables_number 225
_symmetry_space_group_name_Hall '-F 4 2 3'
_cell_length_a 7.116
_cell_length_b 7.116
_cell_length_c 7.116
_cell_angle_alpha 90.00
_cell_angle_beta 90.00
_cell_angle_gamma 90.00
loop_
_atom_site_label
_atom_site_type_symbol
_atom_site_fract_x
_atom_site_fract_y
_atom_site_fract_z
_atom_site_occupancy
Li1 Li 0.250 0.250 0.250 1
Bi1 Bi 0.000 0.000 0.000 1
Sb1 Sb 0.000 0.000 0.500 1
# Polymorph energy (0 for the lowest one) in eV per atom: 0.0305


# TlIn3Sn | the Alexandria database | PBE | relaxed
data_TlIn3Sn
_symmetry_space_group_name_H-M 'P m -3 m'
_symmetry_Int_Tables_number 221
_symmetry_space_group_name_Hall '-P 4 2 3'
_cell_length_a 5.765
_cell_length_b 5.765
_cell_length_c 5.765
_cell_angle_alpha 90.00
_cell_angle_beta 90.00
_cell_angle_gamma 90.00
loop_
_atom_site_label
_atom_site_type_symbol
_atom_site_fract_x
_atom_site_fract_y
_atom_site_fract_z
_atom_site_occupancy
Tl1 Tl 0.000 0.000 0.000 1
In1 In 0.000 0.500 0.500 1
Sn1 Sn 0.500 0.500 0.500 1
# Polymorph energy (0 for the lowest one) in eV per atom: 0.3552
# Calculated formation energy in eV/atom: 0.384


# NiMo2Os | the Alexandria database | PBE | relaxed
data_NiMo2Os
_symmetry_space_group_name_H-M 'P m m 2'
_symmetry_Int_Tables_number 25
_cell_length_a 2.970
_cell_length_b 3.425
_cell_length_c 5.667
_cell_angle_alpha 90.00
_cell_angle_beta 90.00
_cell_angle_gamma 90.00
loop_
_symmetry_equiv_pos_as_xyz
'x,y,z'
'-x,-y,z'
'-x,y,z'
'x,-y,z'
loop_
_atom_site_label
_atom_site_type_symbol
_atom_site_fract_x
_atom_site_fract_y
_atom_site_fract_z
_atom_site_occupancy
Ni1 Ni 0.000 0.000 0.000 1
Mo1 Mo 0.000 0.000 0.495 1
Mo2 Mo 0.500 0.500 0.787 1
Os1 Os 0.500 0.500 0.242 1
# Polymorph energy (0 for the lowest one) in eV per atom: 0.1414
# Calculated formation energy in eV/atom: 0.131


| no. | mass density (g/cm³) | Fermi-level density of states (states/eV/f.u.) | raw total energy (eV per formula unit) |
| --- | --- | --- | --- |
| 1 | 8.3 | 10.43 | -32.31 |
| 2 | 6.4 | 1.44 | -13.25 |
| 3 | 5.8 | 4.10 | -12.66 |
| 4 | 12.7 | 3.28 | -38.15 |